# 1
# Ho2B4C

A relaxed Ho2B4C crystal (PBE, OQMD via LeMat-Bulk).

Structure (POSCAR):
```
Ho2B4C
1.0
-1.6316 3.2810 3.7454
1.6316 -3.2810 3.7454
1.6316 3.2810 -3.7454
Ho B C
2 4 1
Direct
0.0000 0.0000 0.0000 Ho
0.4689 0.4689 0.0000 Ho
0.0069 0.7346 0.2723 B
0.4623 0.7346 0.7277 B
0.6002 0.2348 0.3653 B
0.8695 0.2348 0.6347 B
0.2342 0.7342 0.5000 C
```

Properties
**Space group**: No. 44
**Crystal system**: orthorhombic



# 2
# HoLuNi2B2C2

A relaxed HoLuNi2B2C2 crystal (PBE, OQMD via LeMat-Bulk).

Structure (POSCAR):
```
HoLuNi2B2C2
1.0
3.5414 0.0000 0.0000
0.0000 3.5414 0.0000
0.0000 0.0000 7.5238
Ho Lu Ni B C
1 1 2 2 2
Direct
0.0000 0.0000 0.0000 Ho
0.5000 0.5000 0.3268 Lu
0.0000 0.5000 0.6633 Ni
0.5000 0.0000 0.6633 Ni
0.0000 0.0000 0.5167 B
0.5000 0.5000 0.8137 B
0.0000 0.0000 0.3185 C
0.5000 0.5000 0.0123 C
```

Properties
**Space group**: No. 99
**Crystal system**: tetragonal



# 3
# Ho2Ni2B2CN

A relaxed Ho2Ni2B2CN crystal (PBE, OQMD via LeMat-Bulk).

Structure (POSCAR):
```
Ho2Ni2B2CN
1.0
3.5231 0.0000 0.0000
0.0000 3.5231 0.0000
0.0000 0.0000 7.5191
Ho Ni B C N
2 2 2 1 1
Direct
0.0000 0.0000 0.0000 Ho
0.5000 0.5000 0.3293 Ho
0.0000 0.5000 0.6580 Ni
0.5000 0.0000 0.6580 Ni
0.0000 0.0000 0.5048 B
0.5000 0.5000 0.8141 B
0.5000 0.5000 0.0132 C
0.0000 0.0000 0.3119 N
```

Properties
**Space group**: No. 99
**Crystal system**: tetragonal



Asked for total energy across the records above, the calculation gives -49.15; -56.44; -57.82 eV per cell in order.